The following is a PBE calculation of a relaxed Tb2YSc3P6 crystal, from the Alexandria database.

extended XYZ file:
```
12
Lattice="6.750 -0.001 0.001 -3.374 5.846 0.001 -1.125 -1.949 6.336" Properties=species:S:1:pos:R:3 pbc="T T T"
Tb 3.375 1.949 0.001
Tb 0.001 3.897 0.001
P 2.248 0.000 1.688
P -1.124 1.947 1.688
Sc 4.499 0.000 3.170
P -0.001 -0.002 4.648
P 0.003 3.897 4.651
Y 0.000 0.000 0.000
P 2.252 3.899 1.691
Sc -2.248 3.897 3.170
Sc 1.125 1.949 3.170
P 3.374 1.950 4.651
```

Summary:
DFT formation energy: -1.54 eV/atom
Total magnetic moment: 0.0 μB/f.u.
Crystal system: monoclinic
Space-group type: C2/m, No. 12
Density: 4.8 g/cm³
Electronic total energy: -7.134 eV per atom